An optimized crystal structure of Ac2FeNi3Ge4. Source: Alexandria, functional PBE.

Structure (CIF):
```
data_Ac2FeNi3Ge4
_chemical_formula_sum 'Ac2 Fe1 Ni3 Ge4'
_symmetry_space_group_name_H-M 'P -4 m 2'
_symmetry_Int_Tables_number 115
_cell_length_a 4.283
_cell_length_b 4.283
_cell_length_c 10.072
_cell_angle_alpha 90.00
_cell_angle_beta 90.00
_cell_angle_gamma 90.00
loop_
_symmetry_equiv_pos_as_xyz
'x,y,z'
'y,-x,-z'
'-x,-y,z'
'-y,x,-z'
'-x,y,z'
'-y,-x,-z'
'x,-y,z'
'y,x,-z'
loop_
_atom_site_label
_atom_site_fract_x
_atom_site_fract_y
_atom_site_fract_z
Ac1 0.000 0.500 0.249
Fe1 0.000 0.000 0.500
Ni1 0.000 0.500 0.877
Ni2 0.500 0.500 0.500
Ge1 0.000 0.000 0.000
Ge2 0.000 0.500 0.622
Ge3 0.500 0.500 0.000
```

Results
Uncorrected energy (eV per atom): -5.801
E_form (meV per atom): -552
M_tot (μB per formula unit): 2.07